Version a
Entry from Alexandria via LeMat-Bulk: a geometry-optimized Ni2Rh3 structure (PBE).

a b c (Å): 4.5326 4.6060 6.9880
angles (deg): 108.75 102.15 100.25
Closest atoms and distances in Å follow each position.
Space group P-1 (No. 2)
Asymmetric unit:
1 Ni 0.0493 0.0998 0.3544 x2  4 Ni 2.57-2.67, 8 Rh 2.59-2.69
2 Ni 0.2446 0.4930 0.7473 x2  9 Rh 2.59-2.70, 3 Ni 2.61-2.67
3 Rh 0.1485 0.3001 0.0517 x2  5 Ni 2.62-2.69, 7 Rh 2.63-2.67
4 Rh 0.3461 0.6971 0.4521 x2  7 Ni 2.59-2.65, 5 Rh 2.63-2.68
5 Rh 0.4582 0.9040 0.1533 x2  5 Ni 2.59-2.70, 7 Rh 2.63-2.67

Results
The calculation puts the theoretical density at 10.87 g/cm³. Its volume is 13.022 A^3/atom.



Version b
Entry from Alexandria via LeMat-Bulk: a geometry-optimized Ni2Rh3 structure (PBE).

a b c (Å): 2.6713 2.6713 31.8549
angles (deg): 90.00 90.00 120.00
Closest atoms and distances in Å follow each position.
Space group R-3m (No. 166, hexagonal axes)
Asymmetric unit:
1 Ni 0.0000 0.0000 0.1009 x6  6 Rh 2.60, 6 Ni 2.67
2 Rh 0.0000 0.0000 0.2981 x6  3 Ni 2.60, 9 Rh 2.67-2.72
3 Rh 0.0000 0.0000 0.5000 x3  6 Ni 2.60, 6 Rh 2.67

Results
The calculation puts the theoretical density at 10.78 g/cm³. Its volume is 13.123 A^3/atom.



Last place for stability: version b



Version a
Entry from Alexandria via LeMat-Bulk: a geometry-optimized NiRuRh structure (PBE).

a b c (Å): 2.6705 2.6705 6.4069
angles (deg): 90.00 90.00 120.00
Closest atoms and distances in Å follow each position.
Space group P3m1 (No. 156)
Asymmetric unit:
1 Ni 0.0000 0.0000 0.0000 x1  3 Ru 2.57, 3 Rh 2.64, 6 Ni 2.67
2 Ru 0.6667 0.3333 0.6790 x1  3 Ni 2.57, 6 Ru 2.67, 3 Rh 2.69
3 Rh 0.3333 0.6667 0.3343 x1  3 Ni 2.64, 6 Rh 2.67, 3 Ru 2.69

Results
The calculation puts the theoretical density at 11.02 g/cm³. Its volume is 13.190 A^3/atom.



Version b
Entry from Alexandria via LeMat-Bulk: a geometry-optimized NiRuRh structure (PBE).

a b c (Å): 4.5666 7.8918 4.5693
angles (deg): 90.00 107.62 90.00
Closest atoms and distances in Å follow each position.
Space group C2/c (No. 15)
Asymmetric unit:
1 Ni 0.0000 0.2484 0.2500 x4  5 Rh 2.61-2.65, 5 Ru 2.63-2.65, 2 Ni 2.70
2 Ru 0.0000 0.4186 0.7500 x4  5 Rh 2.61-2.70, 2 Ru 2.62, 5 Ni 2.63-2.65
3 Rh 0.0000 0.0873 0.7500 x4  5 Ru 2.61-2.70, 5 Ni 2.61-2.65, 2 Rh 2.67

Results
The calculation puts the theoretical density at 11.12 g/cm³. Its volume is 13.079 A^3/atom.



Last place for stability: version a



Version a
Entry from Alexandria via LeMat-Bulk: a geometry-optimized NiRuRh structure (PBE).

a b c (Å): 2.6817 2.6817 10.9514
angles (deg): 90.00 90.00 90.00
Closest atoms and distances in Å follow each position.
Space group I4mm (No. 107)
Asymmetric unit:
1 Ni 0.0000 0.0000 0.0000 x2  4 Ru 2.58, 4 Rh 2.65, 4 Ni 2.68
2 Ru 0.0000 0.0000 0.3401 x2  4 Ni 2.58, 4 Rh 2.66, 4 Ru 2.68
3 Rh 0.0000 0.0000 0.6694 x2  4 Ni 2.65, 4 Ru 2.66, 4 Rh 2.68

Results
The calculation puts the theoretical density at 11.08 g/cm³. Its volume is 13.126 A^3/atom.



Version b
Entry from Alexandria via LeMat-Bulk: a geometry-optimized NiRuRh structure (PBE).

a b c (Å): 2.6904 3.6973 7.8848
angles (deg): 90.00 90.00 90.00
Closest atoms and distances in Å follow each position.
Space group Imm2 (No. 44)
Asymmetric unit:
1 Ni 0.0000 0.0000 0.0000 x2  5 Rh 2.61-2.65, 5 Ru 2.61-2.68, 2 Ni 2.69
2 Ru 0.0000 0.0000 0.3393 x2  5 Rh 2.60-2.65, 5 Ni 2.61-2.68, 2 Ru 2.69
3 Rh 0.0000 0.0000 0.6693 x2  5 Ru 2.60-2.65, 5 Ni 2.61-2.65, 2 Rh 2.69

Results
The calculation puts the theoretical density at 11.12 g/cm³. Its volume is 13.072 A^3/atom.



Version c
Entry from Alexandria via LeMat-Bulk: a geometry-optimized NiRuRh structure (PBE).

a b c (Å): 2.6758 3.7595 7.8568
angles (deg): 90.00 90.09 90.00
Closest atoms and distances in Å follow each position.
Space group P2_1/m (No. 11)
Asymmetric unit:
1 Ni 0.2493 0.2500 0.0797 x2  5 Rh 2.52-2.64, 6 Ni 2.62-2.68, 1 Ru 2.65
2 Ru 0.2496 0.2500 0.4168 x2  1 Ni 2.65, 6 Ru 2.65-2.68, 5 Rh 2.68-2.69
3 Rh 0.2508 0.2500 0.7584 x2  5 Ni 2.52-2.64, 2 Rh 2.68, 5 Ru 2.68-2.69

Results
The calculation puts the theoretical density at 11.04 g/cm³. Its volume is 13.173 A^3/atom.



Version d
Entry from Alexandria via LeMat-Bulk: a geometry-optimized NiRuRh structure (PBE).

a b c (Å): 7.9542 4.5858 5.0904
angles (deg): 90.00 122.21 90.00
Closest atoms and distances in Å follow each position.
Space group C2 (No. 5)
Asymmetric unit:
1 Ni 0.0000 0.0000 0.0000 x2  4 Rh 2.62-2.64, 6 Ru 2.63-2.68, 2 Ni 2.65
2 Ni 0.0000 0.1635 0.5000 x2  4 Ru 2.62-2.64, 6 Rh 2.64-2.66, 2 Ni 2.65
3 Ru 0.1695 0.4950 0.0008 x4  5 Ni 2.62-2.68, 3 Ru 2.63-2.69, 4 Rh 2.63-2.66
4 Rh 0.1675 0.6655 0.4988 x4  5 Ni 2.62-2.66, 4 Ru 2.63-2.66, 3 Rh 2.64-2.67

Results
The calculation puts the theoretical density at 11.11 g/cm³. Its volume is 13.092 A^3/atom.



Last place for stability: version a



Version a
Entry from Alexandria via LeMat-Bulk: a geometry-optimized NiRuRh structure (PBE).

a b c (Å): 4.5853 4.5886 5.0181
angles (deg): 90.54 116.14 119.95
Closest atoms and distances in Å follow each position.
Space group P-1 (No. 2)
Asymmetric unit:
1 Ni 0.1686 0.4188 0.2494 x2  5 Rh 2.61-2.68, 5 Ru 2.62-2.67, 2 Ni 2.64-2.66
2 Ru 0.4969 0.0844 0.2499 x2  5 Ni 2.62-2.67, 5 Rh 2.62-2.68, 2 Ru 2.63
3 Rh 0.1665 0.2554 0.7487 x2  5 Ni 2.61-2.68, 5 Ru 2.62-2.68, 2 Rh 2.64-2.65

Results
The calculation puts the theoretical density at 11.12 g/cm³. Its volume is 13.078 A^3/atom.



Version b
Entry from Alexandria via LeMat-Bulk: a geometry-optimized NiRuRh structure (PBE).

a b c (Å): 4.6495 2.6663 6.3918
angles (deg): 90.00 90.11 90.00
Closest atoms and distances in Å follow each position.
Space group P2_1/m (No. 11)
Asymmetric unit:
1 Ni 0.2394 0.2500 0.4993 x2  3 Ru 2.59-2.61, 6 Ni 2.60-2.77, 3 Rh 2.60-2.63
2 Ru 0.0818 0.7500 0.8314 x2  3 Ni 2.59-2.61, 4 Ru 2.65-2.67, 5 Rh 2.67-2.69
3 Rh 0.4157 0.7500 0.1744 x2  3 Ni 2.60-2.63, 4 Rh 2.67-2.71, 5 Ru 2.67-2.69

Results
The calculation puts the theoretical density at 11.01 g/cm³. Its volume is 13.206 A^3/atom.



Last place for stability: version b